ReHgBr2: relaxed, PBE-GGA.

Computed properties:
The value obtained for the total energy is -10.9 eV per formula unit. As for the uncorrected formation energy: 1.29 eV/atom.

a b c (Å): 4.8910 4.8911 4.8954
angles (deg): 120.15 120.15 89.69
Last column: magnetic moment on the atom in μB.
Sites, in units of the cell vectors:
Re: 0.7500 0.2500 0.5000  0.06
Hg: 0.2500 0.7500 0.5000  0.00
Br: 0.0000 0.0000 0.0000  0.00
Br: 0.5000 0.5000 0.0000  0.00

---

Tb4Pr2SmSc: relaxed, PBE-GGA.

Computed properties:
Its formation energy is 0.034 eV per atom. The value obtained for the total energy is -38.9 eV per formula unit.

a b c (Å): 5.0526 5.0524 11.2903
angles (deg): 63.42 90.00 90.00
Sites, in units of the cell vectors:
Tb: 0.0000 0.7565 0.7440
Tb: 0.0000 0.2435 0.2560
Tb: 0.5000 0.7438 0.2559
Tb: 0.5000 0.2562 0.7441
Pr: 0.0000 0.0000 0.0000
Pr: 0.5000 0.0000 0.5000
Sm: 0.5000 0.5000 0.0000
Sc: 0.0000 0.5000 0.5000

---

W2N: relaxed, PBE-GGA.

Computed properties:
The value obtained for the total energy is -32.7 eV per formula unit. As for the uncorrected formation energy: 0.50 eV/atom.

a b c (Å): 2.8342 2.8342 17.6422
angles (deg): 90.00 90.00 120.00
Sites, in units of the cell vectors:
W: 0.0000 0.0000 0.0759
W: 0.0000 0.0000 0.9241
W: 0.3333 0.6667 0.2630
W: 0.6667 0.3333 0.7370
W: 0.3333 0.6667 0.4166
W: 0.6667 0.3333 0.5834
N: 0.0000 0.0000 0.5000
N: 0.3333 0.6667 0.1507
N: 0.6667 0.3333 0.8493